1.
A plane-wave DFT calculation with PBE-GGA was carried out for a relaxed structure of Be2RePt.

space-group type	No. 44
magnetization	0.0	μB per formula unit

```
Be2RePt
1.0
-0.666 0.713 -4.897
3.501 -1.184 -3.358
-3.056 -1.476 3.662
Be Re Pt
2 1 1
direct
0.981 0.981 0.000 Be
0.754 0.254 0.500 Be
0.247 0.747 0.500 Re
0.518 0.518 0.000 Pt
```

=====

2.
A plane-wave DFT calculation with PBE-GGA was carried out for a relaxed structure of Be2RePt.

space-group type	No. 38
magnetization	0.0	μB per formula unit

```
Be2RePt
1.0
-2.751 -2.752 -0.157
1.828 -1.868 0.718
-0.026 -0.235 4.576
Re Be Pt
1 2 1
direct
0.500 0.775 0.826 Re
0.000 0.203 0.970 Be
0.500 0.046 0.282 Be
0.000 0.476 0.422 Pt
```

=====

Energy relative to the most stable one, in meV/atom: 1 104; 2 0

=====

1.
A plane-wave DFT calculation with PBE-GGA was carried out for a relaxed structure of BePtRh.

space-group type	No. 216
magnetization	1.1	μB per formula unit

```
BePtRh
1.0
-2.908 0.639 -2.791
-3.927 -0.492 0.995
-2.449 3.249 0.312
Rh Pt Be
1 1 1
direct
0.000 0.000 0.000 Rh
0.750 0.750 0.750 Pt
0.500 0.500 0.500 Be
```

=====

2.
A plane-wave DFT calculation with PBE-GGA was carried out for a relaxed structure of BePtRh.

space-group type	No. 216
magnetization	0.0	μB per formula unit

```
BePtRh
1.0
3.855 -0.024 -0.034
-1.904 3.352 0.034
-1.905 -1.119 3.160
Be Pt Rh
1 1 1
direct
0.444 0.222 0.667 Be
0.944 0.972 0.917 Pt
0.945 0.472 0.417 Rh
```

=====

3.
A plane-wave DFT calculation with PBE-GGA was carried out for a relaxed structure of BePtRh.

space-group type	No. 189
magnetization	0.0	μB per formula unit

```
BePtRh
1.0
2.809 0.000 0.000
0.000 6.849 0.000
0.000 -3.425 5.932
Pt Rh Be
3 3 3
direct
0.000 0.399 0.399 Pt
0.000 0.000 0.601 Pt
0.000 0.601 0.000 Pt
0.500 0.257 0.000 Rh
0.500 0.743 0.743 Rh
0.500 0.000 0.257 Rh
0.500 0.667 0.333 Be
0.500 0.333 0.667 Be
0.000 0.000 0.000 Be
```

=====

4.
A plane-wave DFT calculation with PBE-GGA was carried out for a relaxed structure of BePtRh.

space-group type	No. 107
magnetization	0.0	μB per formula unit

```
BePtRh
1.0
-2.252 4.656 0.949
-4.899 1.910 0.070
3.423 -3.743 1.387
Be Pt Rh
1 1 1
direct
0.002 0.002 0.000 Be
0.355 0.355 0.000 Pt
0.644 0.644 0.000 Rh
```

=====

Energy relative to the most stable one, in meV/atom: 1 685; 2 149; 3 106; 4 0

=====

1.
A plane-wave DFT calculation with PBE-GGA was carried out for a relaxed structure of Be2Pt2Rh.

space-group type	No. 127
magnetization	0.0	μB per formula unit

```
Be2Pt2Rh
1.0
6.668 0.000 0.000
0.000 6.668 0.000
0.000 0.000 2.754
Pt Be Rh
4 4 2
direct
0.161 0.661 0.500 Pt
0.661 0.839 0.500 Pt
0.839 0.339 0.500 Pt
0.339 0.161 0.500 Pt
0.135 0.365 0.000 Be
0.865 0.635 0.000 Be
0.635 0.135 0.000 Be
0.365 0.865 0.000 Be
0.500 0.500 0.000 Rh
0.000 0.000 0.000 Rh
```

=====

2.
A plane-wave DFT calculation with PBE-GGA was carried out for a relaxed structure of Be2Pt2Rh.

space-group type	No. 65
magnetization	0.0	μB per formula unit

```
Be2Pt2Rh
1.0
-0.853 1.732 2.047
-2.120 -1.694 0.550
3.445 -4.791 5.490
Pt Be Rh
2 2 1
direct
0.000 0.825 0.349 Pt
0.000 0.175 0.651 Pt
0.500 0.588 0.824 Be
0.500 0.412 0.176 Be
0.000 0.000 0.000 Rh
```

=====

Energy relative to the most stable one, in meV/atom: 1 46; 2 0

=====

1.
A plane-wave DFT calculation with PBE-GGA was carried out for a relaxed structure of Be2Ru2Pt.

space-group type	No. 127
magnetization	0.0	μB per formula unit

```
Be2Ru2Pt
1.0
-2.813 4.887 -1.416
-4.115 -3.137 -2.650
-1.791 -0.168 2.979
Be Ru Pt
4 4 2
direct
0.126 0.374 0.000 Be
0.626 0.126 0.000 Be
0.874 0.626 0.000 Be
0.374 0.874 0.000 Be
0.827 0.327 0.500 Ru
0.327 0.173 0.500 Ru
0.673 0.827 0.500 Ru
0.173 0.673 0.500 Ru
0.000 0.000 0.000 Pt
0.500 0.500 0.000 Pt
```

=====

2.
A plane-wave DFT calculation with PBE-GGA was carried out for a relaxed structure of Be2Ru2Pt.

space-group type	No. 127
magnetization	0.0	μB per formula unit

```
Be2Ru2Pt
1.0
-0.890 6.224 2.554
-1.013 -2.670 6.156
2.663 0.171 0.512
Be Pt Ru
4 2 4
direct
0.170 0.670 0.500 Be
0.330 0.170 0.500 Be
0.830 0.330 0.500 Be
0.670 0.830 0.500 Be
0.500 0.500 0.000 Pt
0.000 0.000 0.000 Pt
0.873 0.627 0.000 Ru
0.127 0.373 0.000 Ru
0.627 0.127 0.000 Ru
0.373 0.873 0.000 Ru
```

=====

3.
A plane-wave DFT calculation with PBE-GGA was carried out for a relaxed structure of Be2Ru2Pt.

space-group type	No. 139
magnetization	0.0	μB per formula unit

```
Be2Ru2Pt
1.0
4.013 0.000 0.000
0.000 4.013 0.000
2.007 2.007 3.999
Be Ru Pt
2 2 1
direct
0.250 0.750 0.500 Be
0.750 0.250 0.500 Be
0.647 0.647 0.707 Ru
0.353 0.353 0.293 Ru
0.000 0.000 0.000 Pt
```

=====

Energy relative to the most stable one, in meV/atom: 1 0; 2 319; 3 515

=====

1.
A plane-wave DFT calculation with PBE-GGA was carried out for a relaxed structure of BeRu3Pt.

space-group type	No. 221
magnetization	5.3	μB per formula unit

```
BeRu3Pt
1.0
-4.240 -1.764 1.315
2.189 -3.094 2.907
-0.222 3.182 3.555
Pt Ru Be
1 3 1
direct
0.000 0.000 0.000 Pt
0.000 0.000 0.500 Ru
0.500 0.000 0.000 Ru
0.000 0.500 0.000 Ru
0.500 0.500 0.500 Be
```

=====

2.
A plane-wave DFT calculation with PBE-GGA was carried out for a relaxed structure of BeRu3Pt.

space-group type	No. 221
magnetization	0.0	μB per formula unit

```
BeRu3Pt
1.0
4.083 0.000 0.000
0.000 4.083 0.000
0.000 0.000 4.083
Be Ru Pt
1 3 1
direct
0.000 0.000 0.000 Be
0.000 0.500 0.000 Ru
0.000 0.000 0.500 Ru
0.500 0.000 0.000 Ru
0.500 0.500 0.500 Pt
```

=====

Energy relative to the most stable one, in meV/atom: 1 1722; 2 0

=====

1.
A plane-wave DFT calculation with PBE-GGA was carried out for a relaxed structure of BePtS3.

space-group type	No. 221
magnetization	0.0	μB per formula unit

```
BePtS3
1.0
-2.796 0.958 3.646
-3.551 -2.191 -2.147
1.264 -4.038 2.030
S Pt Be
3 1 1
direct
0.000 0.000 0.500 S
0.500 0.000 0.000 S
0.000 0.500 0.000 S
0.000 0.000 0.000 Pt
0.500 0.500 0.500 Be
```

=====

2.
A plane-wave DFT calculation with PBE-GGA was carried out for a relaxed structure of BePtS3.

space-group type	No. 221
magnetization	0.0	μB per formula unit

```
BePtS3
1.0
4.228 0.000 0.000
0.000 4.228 0.000
0.000 0.000 4.228
S Pt Be
3 1 1
direct
0.000 0.000 0.500 S
0.000 0.500 0.000 S
0.500 0.000 0.000 S
0.500 0.500 0.500 Pt
0.000 0.000 0.000 Be
```

=====

Energy relative to the most stable one, in meV/atom: 1 334; 2 0

=====

1.
A plane-wave DFT calculation with PBE-GGA was carried out for a relaxed structure of Be3PtS.

space-group type	No. 221
magnetization	0.0	μB per formula unit

```
Be3PtS
1.0
4.294 0.000 0.000
0.000 4.294 0.000
0.000 0.000 4.294
Be Pt S
3 1 1
direct
0.000 0.000 0.500 Be
0.000 0.500 0.000 Be
0.500 0.000 0.000 Be
0.000 0.000 0.000 Pt
0.500 0.500 0.500 S
```

=====

2.
A plane-wave DFT calculation with PBE-GGA was carried out for a relaxed structure of Be3PtS.

space-group type	No. 221
magnetization	0.0	μB per formula unit

```
Be3PtS
1.0
3.997 0.000 0.000
0.000 3.997 0.000
0.000 0.000 3.997
Pt Be S
1 3 1
direct
0.500 0.500 0.500 Pt
0.000 0.000 0.500 Be
0.500 0.000 0.000 Be
0.000 0.500 0.000 Be
0.000 0.000 0.000 S
```

=====

Energy relative to the most stable one, in meV/atom: 1 17; 2 0

=====

1.
A plane-wave DFT calculation with PBE-GGA was carried out for a relaxed structure of BeSbPt.

space-group type	No. 42
magnetization	0.0	μB per formula unit

```
BeSbPt
1.0
6.097 0.086 -0.092
5.320 3.004 -0.057
0.778 0.217 2.910
Sb Be Pt
1 1 1
direct
0.660 0.660 0.340 Sb
0.958 0.958 0.042 Be
0.382 0.382 0.618 Pt
```

=====

2.
A plane-wave DFT calculation with PBE-GGA was carried out for a relaxed structure of BeSbPt.

space-group type	No. 216
magnetization	0.0	μB per formula unit

```
BeSbPt
1.0
4.260 0.000 0.000
2.130 3.689 0.000
2.130 1.230 3.478
Be Pt Sb
1 1 1
direct
0.500 0.500 0.500 Be
0.750 0.750 0.750 Pt
0.000 0.000 0.000 Sb
```

=====

3.
A plane-wave DFT calculation with PBE-GGA was carried out for a relaxed structure of BeSbPt.

space-group type	No. 187
magnetization	0.0	μB per formula unit

```
BeSbPt
1.0
3.953 0.000 0.000
-1.977 3.424 0.000
0.000 0.000 3.823
Be Pt Sb
1 1 1
direct
0.000 0.000 0.167 Be
0.333 0.667 0.166 Pt
0.667 0.333 0.667 Sb
```

=====

Energy relative to the most stable one, in meV/atom: 1 166; 2 0; 3 123

=====

1.
A plane-wave DFT calculation with PBE-GGA was carried out for a relaxed structure of BeSbPt3.

space-group type	No. 221
magnetization	0.0	μB per formula unit

```
BeSbPt3
1.0
-2.477 -3.512 0.774
3.540 -2.546 -0.223
0.631 0.501 4.291
Sb Pt Be
1 3 1
direct
0.500 0.500 0.500 Sb
0.500 0.000 0.000 Pt
0.000 0.500 0.000 Pt
0.000 0.000 0.500 Pt
0.000 0.000 0.000 Be
```

=====

2.
A plane-wave DFT calculation with PBE-GGA was carried out for a relaxed structure of BeSbPt3.

space-group type	No. 221
magnetization	0.0	μB per formula unit

```
BeSbPt3
1.0
-4.510 -0.231 1.950
1.691 -2.939 3.563
0.998 3.938 2.774
Sb Pt Be
1 3 1
direct
0.000 0.000 0.000 Sb
0.000 0.500 0.000 Pt
0.500 0.000 0.000 Pt
0.000 0.000 0.500 Pt
0.500 0.500 0.500 Be
```

=====

Energy relative to the most stable one, in meV/atom: 1 0; 2 1233

=====

1.
A plane-wave DFT calculation with PBE-GGA was carried out for a relaxed structure of BeSb3Pt.

space-group type	No. 221
magnetization	0.0	μB per formula unit

```
BeSb3Pt
1.0
-2.274 -3.862 -1.687
4.199 -2.241 -0.529
-0.362 -1.730 4.450
Sb Be Pt
3 1 1
direct
0.500 0.000 0.000 Sb
0.000 0.000 0.500 Sb
0.000 0.500 0.000 Sb
0.000 0.000 0.000 Be
0.500 0.500 0.500 Pt
```

=====

2.
A plane-wave DFT calculation with PBE-GGA was carried out for a relaxed structure of BeSb3Pt.

space-group type	No. 221
magnetization	0.0	μB per formula unit

```
BeSb3Pt
1.0
5.265 0.000 0.000
0.000 5.265 0.000
0.000 0.000 5.265
Pt Sb Be
1 3 1
direct
0.000 0.000 0.000 Pt
0.000 0.500 0.000 Sb
0.500 0.000 0.000 Sb
0.000 0.000 0.500 Sb
0.500 0.500 0.500 Be
```

=====

Energy relative to the most stable one, in meV/atom: 1 0; 2 321

=====

1.
A plane-wave DFT calculation with PBE-GGA was carried out for a relaxed structure of BeSbTe2Pt.

space-group type	No. 123
magnetization	0.0	μB per formula unit

```
BeSbTe2Pt
1.0
-0.130 5.403 0.846
-2.985 0.639 -4.539
-4.233 -0.526 2.710
Te Be Pt Sb
2 1 1 1
direct
0.500 0.000 0.000 Te
0.000 0.500 0.000 Te
0.500 0.500 0.500 Be
0.000 0.000 0.000 Pt
0.000 0.000 0.500 Sb
```

=====

2.
A plane-wave DFT calculation with PBE-GGA was carried out for a relaxed structure of BeSbTe2Pt.

space-group type	No. 123
magnetization	0.0	μB per formula unit

```
BeSbTe2Pt
1.0
-3.572 3.262 -0.662
-2.349 -1.781 3.892
2.282 3.063 2.779
Sb Pt Te Be
1 1 2 1
direct
0.000 0.000 0.500 Sb
0.500 0.500 0.500 Pt
0.000 0.500 0.000 Te
0.500 0.000 0.000 Te
0.000 0.000 0.000 Be
```

=====

Energy relative to the most stable one, in meV/atom: 1 209; 2 0